{"formula": "Pm6As5S", "functional": "PBE-GGA", "state": "relaxed", "vol_a3_per_cell": 316, "dft_energy_ev_per_cell": -75.568, "raw_formation_energy_kj_per_mol_atoms": -158, "lattice": [[-2.4473, 4.4416, -5.2401], [-5.0505, 4.4693, 2.7700], [1.9705, 6.4184, 2.8316]], "species": ["S", "Pm", "Pm", "Pm", "Pm", "Pm", "Pm", "As", "As", "As", "As", "As"], "fractional_positions": [[0.0000, 0.0000, 0.0000], [0.7504, 0.0832, 0.3328], [0.2496, 0.9168, 0.6672], [0.7491, 0.7507, 0.0000], [0.7504, 0.4160, 0.6672], [0.2496, 0.5840, 0.3328], [0.2509, 0.2493, 0.0000], [0.0000, 0.6667, 0.6665], [0.5000, 0.8329, 0.3342], [0.0000, 0.3333, 0.3335], [0.5000, 0.5000, 0.0000], [0.5000, 0.1671, 0.6658]]}

{"formula": "Pm2AsS6", "functional": "PBE-GGA", "state": "relaxed", "vol_a3_per_cell": 388, "dft_energy_ev_per_cell": -95.784, "raw_formation_energy_kj_per_mol_atoms": -96, "lattice": [[-3.0366, 2.0807, 4.2160], [1.7135, -5.9359, 4.1637], [7.6230, 4.3562, 3.0732]], "species": ["S", "S", "S", "S", "S", "S", "S", "S", "S", "S", "S", "S", "Pm", "Pm", "Pm", "Pm", "As", "As"], "fractional_positions": [[0.3567, 0.8312, 0.4659], [0.8288, 0.7010, 0.5336], [0.6433, 0.1688, 0.5341], [0.1433, 0.3312, 0.0341], [0.1712, 0.2990, 0.4664], [0.9197, 0.9742, 0.2498], [0.0803, 0.0258, 0.7502], [0.3288, 0.7990, 0.0336], [0.5803, 0.4742, 0.2502], [0.6712, 0.2010, 0.9664], [0.4197, 0.5258, 0.7498], [0.8567, 0.6688, 0.9659], [0.9318, 0.3934, 0.7396], [0.4318, 0.1066, 0.2396], [0.0682, 0.6066, 0.2604], [0.5682, 0.8934, 0.7604], [0.0000, 0.0000, 0.5000], [0.5000, 0.5000, 0.0000]]}

{"formula": "Pm2AsS", "functional": "PBE-GGA", "state": "relaxed", "vol_a3_per_cell": 101, "polymorph_energy_mev_per_atom": 1, "dft_energy_ev_per_cell": -25.514, "raw_formation_energy_kj_per_mol_atoms": -175, "lattice": [[-2.2897, 2.7484, 2.0888], [0.6820, -2.0969, 3.5068], [4.7847, 3.2269, 0.9990]], "species": ["As", "S", "Pm", "Pm"], "fractional_positions": [[0.5000, 0.5000, 0.5000], [0.0000, 0.0000, 0.0000], [0.0000, 0.0000, 0.5000], [0.5000, 0.5000, 0.0000]]}

{"formula": "Pm7As5S", "functional": "PBE-GGA", "state": "relaxed", "vol_a3_per_cell": 712, "dft_energy_ev_per_cell": -158.175, "raw_formation_energy_kj_per_mol_atoms": -137, "lattice": [[-3.5327, 1.4445, -1.6768], [3.6760, -3.2373, -5.3514], [-11.1856, -21.2557, 5.2547]], "species": ["Pm", "Pm", "Pm", "Pm", "Pm", "Pm", "Pm", "Pm", "Pm", "Pm", "Pm", "Pm", "Pm", "Pm", "As", "As", "As", "As", "As", "As", "As", "As", "As", "As", "S", "S"], "fractional_positions": [[0.9133, 0.8267, 0.3943], [0.9152, 0.8304, 0.1049], [0.6374, 0.2748, 0.4637], [0.4445, 0.8891, 0.2499], [0.6385, 0.2770, 0.0362], [0.1819, 0.3637, 0.3218], [0.5560, 0.1120, 0.7500], [0.3628, 0.7255, 0.9637], [0.0864, 0.1728, 0.6054], [0.1827, 0.3654, 0.1784], [0.8183, 0.6366, 0.6782], [0.0862, 0.1724, 0.8947], [0.3625, 0.7250, 0.5362], [0.8183, 0.6366, 0.8216], [0.5461, 0.0923, 0.3521], [0.4538, 0.9077, 0.6479], [0.4535, 0.9069, 0.8520], [0.9999, 0.9998, 0.4999], [0.7265, 0.4529, 0.5750], [0.0007, 0.0013, 0.9999], [0.5477, 0.0954, 0.1480], [0.7266, 0.4532, 0.9248], [0.2746, 0.5492, 0.0752], [0.2735, 0.5469, 0.4251], [0.7984, 0.5968, 0.2523], [0.2022, 0.4044, 0.7488]]}

{"formula": "Pm4As3S", "functional": "PBE-GGA", "state": "relaxed", "vol_a3_per_cell": 209, "dft_energy_ev_per_cell": -50.484, "raw_formation_energy_kj_per_mol_atoms": -162, "lattice": [[5.9298, 0.0000, 0.0000], [0.0000, 5.9298, 0.0000], [0.0000, 0.0000, 5.9298]], "species": ["As", "As", "As", "Pm", "Pm", "Pm", "Pm", "S"], "fractional_positions": [[0.5000, 0.5000, 0.0000], [0.5000, 0.0000, 0.5000], [0.0000, 0.5000, 0.5000], [0.5000, 0.5000, 0.5000], [0.0000, 0.5000, 0.0000], [0.0000, 0.0000, 0.5000], [0.5000, 0.0000, 0.0000], [0.0000, 0.0000, 0.0000]]}

{"formula": "Pm3AsS2", "functional": "PBE-GGA", "state": "relaxed", "vol_a3_per_cell": 315, "polymorph_energy_mev_per_atom": 399, "dft_energy_ev_per_cell": -72.191, "raw_formation_energy_kj_per_mol_atoms": -144, "lattice": [[6.7295, 0.0000, 0.0000], [0.0000, 6.7406, 2.2551], [0.0000, 0.4710, 7.0922]], "species": ["Pm", "Pm", "Pm", "Pm", "Pm", "Pm", "S", "S", "S", "S", "As", "As"], "fractional_positions": [[0.2500, 0.0904, 0.9096], [0.2500, 0.5231, 0.1406], [0.2500, 0.8594, 0.4769], [0.7500, 0.4769, 0.8594], [0.7500, 0.1406, 0.5231], [0.7500, 0.9096, 0.0904], [0.5000, 0.1831, 0.1831], [0.5000, 0.8169, 0.8169], [0.0000, 0.1831, 0.1831], [0.0000, 0.8169, 0.8169], [0.2500, 0.4279, 0.5721], [0.7500, 0.5721, 0.4279]]}

{"formula": "Pm3As2S", "functional": "PBE-GGA", "state": "relaxed", "vol_a3_per_cell": 154, "polymorph_energy_mev_per_atom": 3, "dft_energy_ev_per_cell": -38.065, "raw_formation_energy_kj_per_mol_atoms": -167, "lattice": [[4.0043, 0.0000, -1.2121], [-0.7326, 5.3459, -2.4201], [-0.0004, -0.0029, 7.2190]], "species": ["As", "As", "Pm", "Pm", "Pm", "S"], "fractional_positions": [[0.1673, 0.1673, 0.8346], [0.8327, 0.8327, 0.1654], [0.5000, 0.0000, 0.5000], [0.1657, 0.6657, 0.8314], [0.8343, 0.3343, 0.1686], [0.5000, 0.5000, 0.5000]]}

{"formula": "Pm3AsS", "functional": "PBE-GGA", "state": "relaxed", "vol_a3_per_cell": 147, "dft_energy_ev_per_cell": -28.509, "raw_formation_energy_kj_per_mol_atoms": -106, "lattice": [[3.7185, 0.0014, -0.0006], [-0.0014, 5.8466, 3.3645], [0.0010, 0.0107, 6.7450]], "species": ["S", "Pm", "Pm", "Pm", "As"], "fractional_positions": [[0.2202, 0.0995, 0.0621], [0.7201, 0.4292, 0.7357], [0.7202, 0.0963, 0.3917], [0.7202, 0.7730, 0.0590], [0.2202, 0.4326, 0.3956]]}

{"formula": "Pm2AsS", "functional": "PBE-GGA", "state": "relaxed", "vol_a3_per_cell": 92, "polymorph_energy_mev_per_atom": 408, "dft_energy_ev_per_cell": -23.883, "raw_formation_energy_kj_per_mol_atoms": -135, "lattice": [[3.5507, 0.0000, 0.0000], [0.0000, 5.0900, 0.0000], [0.0000, 0.0000, 5.0900]], "species": ["As", "Pm", "Pm", "S"], "fractional_positions": [[0.5000, 0.5000, 0.5000], [0.0000, 0.0000, 0.5000], [0.0000, 0.5000, 0.0000], [0.5000, 0.0000, 0.0000]]}

{"formula": "Pm8AsS5", "functional": "PBE-GGA", "state": "relaxed", "vol_a3_per_cell": 323, "dft_energy_ev_per_cell": -84.498, "raw_formation_energy_kj_per_mol_atoms": -146, "lattice": [[7.1455, 0.5671, -2.1707], [-3.7965, 6.0800, -2.1707], [-0.2857, -0.5671, 7.4625]], "species": ["S", "S", "S", "S", "S", "Pm", "Pm", "Pm", "Pm", "Pm", "Pm", "Pm", "Pm", "As"], "fractional_positions": [[0.8734, 0.2517, 0.8759], [0.0025, 0.1266, 0.3783], [0.7483, 0.6242, 0.6217], [0.3758, 0.9975, 0.1241], [0.5000, 0.5000, 0.0000], [0.1261, 0.5059, 0.7498], [0.2529, 0.3687, 0.2440], [0.6238, 0.8739, 0.3799], [0.6313, 0.8753, 0.8842], [0.4941, 0.2439, 0.6201], [0.7561, 0.3762, 0.2502], [0.1247, 0.0089, 0.7560], [0.9911, 0.7471, 0.1158], [0.2500, 0.7500, 0.5000]]}

{"formula": "Pm3As5S12", "functional": "PBE-GGA", "state": "relaxed", "vol_a3_per_cell": 1926, "dft_energy_ev_per_cell": -405.236, "raw_formation_energy_kj_per_mol_atoms": -69, "lattice": [[13.5763, 0.0000, 0.0000], [-4.5254, 12.7999, 0.0000], [-4.5254, -6.3999, 11.0850]], "species": ["As", "As", "As", "As", "As", "As", "As", "As", "As", "As", "As", "As", "As", "As", "As", "As", "As", "As", "As", "As", "Pm", "Pm", "Pm", "Pm", "Pm", "Pm", "Pm", "Pm", "Pm", "Pm", "Pm", "Pm", "S", "S", "S", "S", "S", "S", "S", "S", "S", "S", "S", "S", "S", "S", "S", "S", "S", "S", "S", "S", "S", "S", "S", "S", "S", "S", "S", "S", "S", "S", "S", "S", "S", "S", "S", "S", "S", "S", "S", "S", "S", "S", "S", "S", "S", "S", "S", "S"], "fractional_positions": [[0.5000, 0.0000, 0.0000], [0.3750, 0.2500, 0.1250], [0.7500, 0.1250, 0.8750], [0.5000, 0.5000, 0.0000], [0.0000, 0.0000, 0.5000], [0.6250, 0.7500, 0.8750], [0.5000, 0.0000, 0.5000], [0.3750, 0.1250, 0.7500], [0.1250, 0.7500, 0.3750], [0.0000, 0.5000, 0.0000], [0.6250, 0.8750, 0.2500], [0.2500, 0.8750, 0.1250], [0.1250, 0.3750, 0.2500], [0.7500, 0.6250, 0.3750], [0.0000, 0.0000, 0.0000], [0.8750, 0.2500, 0.6250], [0.2500, 0.3750, 0.6250], [0.8750, 0.6250, 0.7500], [0.5000, 0.5000, 0.5000], [0.0000, 0.5000, 0.5000], [0.3750, 0.7500, 0.6250], [0.1250, 0.2500, 0.8750], [0.6250, 0.3750, 0.7500], [0.8750, 0.7500, 0.1250], [0.3750, 0.6250, 0.2500], [0.7500, 0.8750, 0.6250], [0.6250, 0.2500, 0.3750], [0.8750, 0.1250, 0.2500], [0.1250, 0.8750, 0.7500], [0.2500, 0.6250, 0.8750], [0.7500, 0.3750, 0.1250], [0.2500, 0.1250, 0.3750], [0.2117, 0.6726, 0.0833], [0.4167, 0.2883, 0.3274], [0.0391, 0.4107, 0.8274], [0.8717, 0.2883, 0.4609], [0.9167, 0.0893, 0.6283], [0.3274, 0.5391, 0.4107], [0.5391, 0.3274, 0.9107], [0.6726, 0.2117, 0.5833], [0.0893, 0.9167, 0.1283], [0.3274, 0.7883, 0.4167], [0.4107, 0.0391, 0.3274], [0.7117, 0.5833, 0.1726], [0.3717, 0.4107, 0.0833], [0.0833, 0.9107, 0.3717], [0.5833, 0.7117, 0.6726], [0.6726, 0.4609, 0.5893], [0.9107, 0.0833, 0.8717], [0.3717, 0.9609, 0.7883], [0.0893, 0.1726, 0.4609], [0.7883, 0.3274, 0.9167], [0.2883, 0.4167, 0.8274], [0.9609, 0.3717, 0.2883], [0.8274, 0.9107, 0.0391], [0.5893, 0.6283, 0.4167], [0.8717, 0.5833, 0.9107], [0.5833, 0.8717, 0.4107], [0.4609, 0.7883, 0.8717], [0.9609, 0.5893, 0.1726], [0.9167, 0.8274, 0.7883], [0.1726, 0.0833, 0.7117], [0.2883, 0.8717, 0.9609], [0.9107, 0.8274, 0.5391], [0.4609, 0.6726, 0.0893], [0.4107, 0.3717, 0.5833], [0.4167, 0.1283, 0.5893], [0.5391, 0.2117, 0.1283], [0.8274, 0.9167, 0.2883], [0.6283, 0.5893, 0.9167], [0.1726, 0.0893, 0.9609], [0.1283, 0.7117, 0.5391], [0.5893, 0.9609, 0.6726], [0.1283, 0.4167, 0.0893], [0.0391, 0.6283, 0.7117], [0.7883, 0.4609, 0.3717], [0.7117, 0.1283, 0.0391], [0.6283, 0.0391, 0.2117], [0.2117, 0.5391, 0.6283], [0.0833, 0.1726, 0.2117]]}

{"formula": "Pm2AsS", "functional": "PBE-GGA", "state": "relaxed", "vol_a3_per_cell": 92, "polymorph_energy_mev_per_atom": 398, "dft_energy_ev_per_cell": -23.926, "raw_formation_energy_kj_per_mol_atoms": -136, "lattice": [[5.0735, 0.0000, 0.0000], [2.5368, 4.3938, 0.0000], [2.5368, 1.4646, 4.1425]], "species": ["Pm", "Pm", "As", "S"], "fractional_positions": [[0.2500, 0.2500, 0.2500], [0.7500, 0.7500, 0.7500], [0.0000, 0.0000, 0.0000], [0.5000, 0.5000, 0.5000]]}